Entry 1:
Li2MgGa2AgAu2, optimized geometry, DFT GGA-PBE; E_tot = -23.95 eV/cell; SG = P-4m2 (115)
1.0
4.525 0.000 0.000
0.000 4.525 0.000
0.000 0.000 6.402
Ga Mg Li Au Ag
2 1 2 2 1
direct
0.000 0.000 0.500
0.500 0.500 0.000
0.500 0.500 0.500
0.000 0.500 0.766
0.500 0.000 0.234
0.500 0.000 0.734
0.000 0.500 0.266
0.000 0.000 0.000

Entry 2:
Li2Mg2GaAgAu2, optimized geometry, DFT GGA-PBE; E_tot = -22.82 eV/cell; SG = P-4m2 (115)
1.0
4.547 0.000 0.000
0.000 4.547 0.000
0.000 0.000 6.464
Ga Mg Li Au Ag
1 2 2 2 1
direct
0.500 0.500 0.500
0.000 0.000 0.500
0.500 0.500 0.000
0.500 0.000 0.249
0.000 0.500 0.751
0.500 0.000 0.730
0.000 0.500 0.270
0.000 0.000 0.000

Entry 3:
Li2GaAg2PbAu2, optimized geometry, DFT GGA-PBE; E_tot = -25.05 eV/cell; SG = P-4m2 (115)
1.0
-4.294 -0.601 1.364
-1.237 -0.883 -4.284
1.272 -6.758 1.025
Au Li Ag Pb Ga
2 2 2 1 1
direct
0.000 0.500 0.787
0.500 0.000 0.213
0.000 0.000 0.500
0.500 0.500 0.000
0.000 0.500 0.222
0.500 0.000 0.778
0.500 0.500 0.500
0.000 0.000 0.000

Entry 4:
Li2Sc2Ga2AgAu, optimized geometry, DFT GGA-PBE; E_tot = -32.61 eV/cell; SG = P-4m2 (115)
1.0
-0.057 -4.427 1.035
1.850 0.923 4.050
-5.875 0.667 2.532
Ag Sc Li Ga Au
1 2 2 2 1
direct
0.000 0.000 0.000
0.000 0.500 0.749
0.500 0.000 0.251
0.000 0.000 0.500
0.500 0.500 0.000
0.000 0.500 0.250
0.500 0.000 0.750
0.500 0.500 0.500

Entry 5:
Li2GaAg2SnAu2, optimized geometry, DFT GGA-PBE; E_tot = -25.79 eV/cell; SG = P-4m2 (115)
1.0
-0.520 -2.097 -4.010
1.677 -3.839 1.790
-6.112 -1.849 1.759
Ga Sn Au Ag Li
1 1 2 2 2
direct
0.000 0.000 0.000
0.500 0.500 0.500
0.000 0.500 0.770
0.500 0.000 0.230
0.500 0.000 0.767
0.000 0.500 0.233
0.500 0.500 0.000
0.000 0.000 0.500

Entry 6:
Li2TlGaAg2Au2, optimized geometry, DFT GGA-PBE; E_tot = -23.58 eV/cell; SG = P-4m2 (115)
1.0
-3.907 0.346 -2.179
-1.274 -3.971 1.655
-2.797 3.201 5.525
Tl Li Ag Ga Au
1 2 2 1 2
direct
0.500 0.500 0.500
0.000 0.000 0.500
0.500 0.500 0.000
0.500 0.000 0.774
0.000 0.500 0.226
0.000 0.000 0.000
0.000 0.500 0.784
0.500 0.000 0.216

Entry 7:
Li2ZnGa2Ag2Au, optimized geometry, DFT GGA-PBE; E_tot = -22.31 eV/cell; SG = P-4m2 (115)
1.0
4.472 0.000 0.000
0.000 4.472 0.000
0.000 0.000 6.330
Li Ga Ag Zn Au
2 2 2 1 1
direct
0.500 0.000 0.750
0.000 0.500 0.250
0.000 0.500 0.750
0.500 0.000 0.250
0.500 0.500 0.500
0.000 0.000 0.000
0.000 0.000 0.500
0.500 0.500 0.000

Entry 8:
Li2Zn2GaAg2Au, optimized geometry, DFT GGA-PBE; E_tot = -20.30 eV/cell; SG = P-4m2 (115)
1.0
4.466 0.000 0.000
0.000 4.466 0.000
0.000 0.000 6.374
Li Ag Au Zn Ga
2 2 1 2 1
direct
0.000 0.000 0.000
0.500 0.500 0.500
0.500 0.000 0.232
0.000 0.500 0.768
0.000 0.000 0.500
0.500 0.000 0.745
0.000 0.500 0.255
0.500 0.500 0.000

Entry 9:
Pr3Mg3GaAgAu, optimized geometry, DFT GGA-PBE; E_tot = -32.28 eV/cell; SG = P-6 (174)
1.0
-2.245 -0.031 7.316
2.841 -6.366 -3.157
4.100 1.203 1.263
Pr Mg Ga Ag Au
3 3 1 1 1
direct
0.422 0.419 0.500
0.997 0.578 0.500
0.581 0.003 0.500
0.758 0.758 0.000
0.000 0.242 0.000
0.242 0.000 0.000
0.667 0.333 0.000
0.000 0.000 0.500
0.333 0.667 0.000

Entry 10:
Y3MgGa2AgAu2, optimized geometry, DFT GGA-PBE; E_tot = -42.29 eV/cell; SG = Amm2 (38)
1.0
3.931 0.000 0.000
0.000 6.582 3.792
0.000 -6.582 3.792
Y Ga Ag Au Mg
3 2 1 2 1
direct
0.500 0.402 0.402
0.500 0.587 0.006
0.500 0.006 0.587
0.000 0.992 0.252
0.000 0.252 0.992
0.500 0.005 0.005
0.000 0.667 0.339
0.000 0.339 0.667
0.000 0.751 0.751

Entry 11:
NdGa2AgAu, optimized geometry, DFT GGA-PBE; E_tot = -38.70 eV/cell; SG = P4/nmm (129)
1.0
-1.277 3.454 -2.488
-1.779 -2.793 -2.964
-9.245 0.344 5.223
Ga Ag Au Nd
4 2 2 2
direct
0.500 0.000 0.868
0.500 0.500 0.500
0.000 0.500 0.132
0.000 0.000 0.500
0.000 0.500 0.369
0.500 0.000 0.631
0.500 0.500 0.000
0.000 0.000 0.000
0.000 0.500 0.753
0.500 0.000 0.247

Entry 12:
Sm2Ga2AgAu, optimized geometry, DFT GGA-PBE; E_tot = -25.47 eV/cell; SG = P3m1 (156)
1.0
4.613 0.000 0.000
-2.307 3.995 0.000
0.000 0.000 7.236
Sm Ag Ga Au
2 1 2 1
direct
0.667 0.333 0.995
0.667 0.333 0.503
0.000 0.000 0.242
0.333 0.667 0.282
0.333 0.667 0.718
0.000 0.000 0.760

Entry 13:
Zr2Ga2AgAu, optimized geometry, DFT GGA-PBE; E_tot = -124.75 eV/cell; SG = Pm (6)
1.0
-5.552 4.012 -3.569
-1.455 -3.739 -1.940
-7.092 -3.694 12.441
Zr Ga Ag Au
8 8 4 4
direct
0.437 0.000 0.312
0.687 0.000 0.062
0.688 0.500 0.563
0.938 0.500 0.312
0.188 0.500 0.063
0.187 0.000 0.562
0.937 0.000 0.812
0.438 0.500 0.813
0.563 0.500 0.188
0.813 0.000 0.439
0.560 0.000 0.687
0.815 0.500 0.938
0.313 0.500 0.439
0.062 0.000 0.187
0.310 0.000 0.937
0.064 0.500 0.687
0.000 0.500 0.500
0.000 0.000 0.000
0.500 0.000 0.500
0.250 0.000 0.750
0.750 0.000 0.250
0.500 0.500 0.000
0.250 0.500 0.250
0.750 0.500 0.750

Entry 14:
GdAgAu, optimized geometry, DFT GGA-PBE; polymorph energy (0 for the lowest one) = 0 meV per atom; calculated formation energy = -608 meV per atom; SG = P4/nmm (129)
1.0
3.777 0.000 0.000
0.000 3.777 0.000
0.000 0.000 9.183
Ag Au Gd
2 2 2
direct
0.500 0.000 0.574
0.000 0.500 0.426
0.500 0.000 0.908
0.000 0.500 0.092
0.000 0.500 0.760
0.500 0.000 0.240

Entry 15:
Gd2Ag3Au, optimized geometry, DFT GGA-PBE; calculated formation energy = -463 meV per atom; SG = P4mm (99)
1.0
-2.980 -0.343 2.269
-1.377 -2.708 -2.218
4.492 -6.332 4.941
Ag Au Gd
3 1 2
direct
0.500 0.500 0.334
0.000 0.000 0.827
0.500 0.500 0.672
0.000 0.000 0.164
0.000 0.000 0.497
0.500 0.500 0.007

Entry 16:
GdAgAu, optimized geometry, DFT GGA-PBE; polymorph energy (0 for the lowest one) = 0 meV per atom; calculated formation energy = -608 meV per atom; SG = I4mm (107)
1.0
5.055 -0.901 -1.385
3.398 -2.034 3.549
-4.880 -0.992 -1.866
Au Gd Ag
1 1 1
direct
0.285 0.285 0.000
0.946 0.946 0.000
0.620 0.620 0.000

Entry 17:
GdAgAu, optimized geometry, DFT GGA-PBE; polymorph energy (0 for the lowest one) = 11 meV per atom; calculated formation energy = -597 meV per atom; SG = P4/mmm (123)
1.0
3.774 0.000 0.000
0.000 3.774 0.000
0.000 0.000 9.159
Ag Au Gd
2 2 2
direct
0.500 0.500 0.666
0.500 0.500 0.334
0.000 0.000 0.834
0.000 0.000 0.166
0.500 0.500 0.000
0.000 0.000 0.500

Entry 18:
GdHo2AgHg3Au2, optimized geometry, DFT GGA-PBE; calculated formation energy = -584 meV per atom; SG = Amm2 (38)
1.0
-3.688 -0.421 -0.384
-0.322 -3.654 7.105
-0.856 7.935 -0.484
Hg Ag Gd Au Ho
3 1 1 2 2
direct
0.500 0.729 0.729
0.500 0.272 0.000
0.500 0.000 0.272
0.000 0.999 0.999
0.000 0.402 0.402
0.500 0.333 0.669
0.500 0.669 0.333
0.000 0.597 0.000
0.000 0.000 0.597

Entry 19:
Nd2GdAgHg3Au2, optimized geometry, DFT GGA-PBE; calculated formation energy = -586 meV per atom; SG = Amm2 (38)
1.0
-3.576 -1.486 0.253
0.959 -0.960 7.924
-3.055 6.868 -2.850
Hg Nd Ag Gd Au
3 2 1 1 2
direct
0.500 0.734 0.999
0.500 0.999 0.734
0.500 0.267 0.267
0.000 0.000 0.405
0.000 0.405 0.000
0.000 0.998 0.998
0.000 0.593 0.593
0.500 0.337 0.666
0.500 0.666 0.337

Entry 20:
TbGd2AgHg3Au2, optimized geometry, DFT GGA-PBE; calculated formation energy = -591 meV per atom; SG = Amm2 (38)
1.0
3.783 0.000 0.000
0.000 6.916 3.998
0.000 -6.916 3.998
Tb Au Hg Gd Ag
1 2 3 2 1
direct
0.000 0.595 0.595
0.500 0.667 0.334
0.500 0.334 0.667
0.500 0.731 0.000
0.500 0.000 0.731
0.500 0.269 0.269
0.000 0.000 0.404
0.000 0.404 0.000
0.000 0.000 0.000

Entry 21:
Tb2GdAgHg3Au2, optimized geometry, DFT GGA-PBE; calculated formation energy = -590 meV per atom; SG = Amm2 (38)
1.0
3.773 0.000 0.000
0.000 6.923 3.992
0.000 -6.923 3.992
Au Hg Ag Tb Gd
2 3 1 2 1
direct
0.500 0.333 0.667
0.500 0.667 0.333
0.500 0.270 0.270
0.500 0.000 0.730
0.500 0.730 0.000
0.000 0.000 0.000
0.000 0.000 0.404
0.000 0.404 0.000
0.000 0.596 0.596

Entry 22:
GdY2AgHg3Au2, optimized geometry, DFT GGA-PBE; calculated formation energy = -592 meV per atom; SG = Amm2 (38)
1.0
3.772 0.000 0.000
0.000 6.918 3.990
0.000 -6.918 3.990
Au Gd Hg Y Ag
2 1 3 2 1
direct
0.500 0.667 0.333
0.500 0.333 0.667
0.000 0.404 0.404
0.500 0.999 0.270
0.500 0.731 0.731
0.500 0.270 0.999
0.000 0.596 0.000
0.000 0.000 0.596
0.000 0.000 0.000

Entry 23:
GdHo2Mg3AgAu2, optimized geometry, DFT GGA-PBE; E_tot = -32.82 eV/cell; SG = Amm2 (38)
1.0
-2.736 2.628 1.299
-5.563 -5.248 -1.099
3.643 0.431 6.800
Au Ag Ho Mg Gd
2 1 2 3 1
direct
0.500 0.669 0.333
0.500 0.333 0.669
0.000 0.999 0.999
0.000 0.000 0.585
0.000 0.585 0.000
0.500 0.250 0.999
0.500 0.999 0.250
0.500 0.750 0.750
0.000 0.415 0.415

Entry 24:
Gd2HoZn3AgAu2, optimized geometry, DFT GGA-PBE; calculated formation energy = -578 meV per atom; SG = Amm2 (38)
1.0
3.844 0.000 0.000
0.000 6.541 3.790
0.000 -6.541 3.790
Zn Ag Au Ho Gd
3 1 2 1 2
direct
0.500 0.260 0.260
0.500 0.999 0.741
0.500 0.741 0.999
0.000 0.998 0.998
0.500 0.666 0.336
0.500 0.336 0.666
0.000 0.594 0.594
0.000 0.406 0.000
0.000 0.000 0.406